1.
Material: PmEr6Sc2
Method: DFT, PBE
State: optimized geometry

Values from the calculation:
ρ, g/cm3: 7.6
Total magnetic moment, μB/atom: 0.000
Formation energy from the elements, eV/f.u.: 1.16
Excess energy over the best structure of this formula in the dataset, kJ/mol of formula units: 0

Cell: 9.237 9.237 6.488 Å, 99.61 99.61 87.83°
Fractional positions:
Pm: 0.143 0.857 0.750
Pm: 0.857 0.143 0.250
Er: 0.039 0.205 0.823
Er: 0.050 0.463 0.261
Er: 0.205 0.039 0.323
Er: 0.331 0.618 0.003
Er: 0.382 0.669 0.497
Er: 0.463 0.050 0.761
Er: 0.537 0.950 0.239
Er: 0.618 0.331 0.503
Er: 0.669 0.382 0.997
Er: 0.795 0.961 0.677
Er: 0.950 0.537 0.739
Er: 0.961 0.795 0.177
Sc: 0.291 0.351 0.629
Sc: 0.351 0.291 0.129
Sc: 0.649 0.709 0.871
Sc: 0.709 0.649 0.371

2.
Material: PmErSc4
Method: DFT, PBE
State: optimized geometry

Values from the calculation:
ρ, g/cm3: 5.0
Total magnetic moment, μB/atom: 0.000
Formation energy from the elements, eV/f.u.: 0.82
Excess energy over the best structure of this formula in the dataset, kJ/mol of formula units: 42

Cell: 6.148 6.619 8.273 Å, 90.00 103.57 90.00°
Fractional positions:
Pm: 0.143 0.250 0.347
Pm: 0.857 0.750 0.653
Er: 0.277 0.750 0.995
Er: 0.723 0.250 0.005
Sc: 0.120 0.750 0.358
Sc: 0.233 0.250 0.981
Sc: 0.402 0.003 0.688
Sc: 0.402 0.497 0.688
Sc: 0.598 0.503 0.312
Sc: 0.598 0.997 0.312
Sc: 0.767 0.750 0.019
Sc: 0.880 0.250 0.642

3.
Material: PmEr3Sc5
Method: DFT, PBE
State: optimized geometry

Values from the calculation:
ρ, g/cm3: 5.9
Total magnetic moment, μB/atom: 0.000
Formation energy from the elements, eV/f.u.: 2.62

Cell: 9.260 9.260 9.260 Å, 126.88 126.88 78.45°
Fractional positions:
Pm: 0.250 0.750 0.500
Pm: 0.750 0.250 0.500
Er: 0.121 0.621 0.741
Er: 0.250 0.250 0.000
Er: 0.379 0.121 0.500
Er: 0.621 0.879 0.500
Er: 0.750 0.750 0.000
Er: 0.879 0.379 0.259
Sc: 0.000 0.000 0.000
Sc: 0.068 0.162 0.500
Sc: 0.162 0.662 0.094
Sc: 0.338 0.432 0.500
Sc: 0.432 0.932 0.094
Sc: 0.500 0.500 0.000
Sc: 0.568 0.068 0.906
Sc: 0.662 0.568 0.500
Sc: 0.838 0.338 0.906
Sc: 0.932 0.838 0.500

4.
Material: PmEr12Sc6
Method: DFT, PBE
State: optimized geometry

Values from the calculation:
ρ, g/cm3: 6.8
Total magnetic moment, μB/atom: 0.000
Formation energy from the elements, eV/f.u.: 8.13
Excess energy over the best structure of this formula in the dataset, kJ/mol of formula units: 334

Cell: 8.971 8.971 8.971 Å, 107.36 107.36 107.36°
Fractional positions:
Pm: 0.000 0.000 0.000
Er: 0.112 0.500 0.888
Er: 0.112 0.888 0.500
Er: 0.150 0.376 0.376
Er: 0.376 0.150 0.376
Er: 0.376 0.376 0.150
Er: 0.500 0.112 0.888
Er: 0.500 0.888 0.112
Er: 0.624 0.624 0.850
Er: 0.624 0.850 0.624
Er: 0.850 0.624 0.624
Er: 0.888 0.112 0.500
Er: 0.888 0.500 0.112
Sc: 0.276 0.692 0.692
Sc: 0.308 0.308 0.724
Sc: 0.308 0.724 0.308
Sc: 0.692 0.276 0.692
Sc: 0.692 0.692 0.276
Sc: 0.724 0.308 0.308

5.
Material: Pm2ErSc6
Method: DFT, PBE
State: optimized geometry

Values from the calculation:
ρ, g/cm3: 4.9
Total magnetic moment, μB/atom: 0.000
Formation energy from the elements, eV/f.u.: 0.64

Cell: 9.258 9.258 3.292 Å, 90.00 90.00 120.00°
Fractional positions:
Pm: 0.333 0.667 0.000
Pm: 0.667 0.333 0.000
Er: 0.000 0.000 0.000
Sc: 0.000 0.331 0.500
Sc: 0.000 0.669 0.500
Sc: 0.331 0.000 0.500
Sc: 0.331 0.331 0.500
Sc: 0.669 0.000 0.500
Sc: 0.669 0.669 0.500

6.
Material: PmEr7Sc2
Method: DFT, PBE
State: optimized geometry

Values from the calculation:
ρ, g/cm3: 6.4
Total magnetic moment, μB/atom: 0.000
Formation energy from the elements, eV/f.u.: 6.70
Excess energy over the best structure of this formula in the dataset, kJ/mol of formula units: 607

Cell: 8.701 8.701 5.549 Å, 90.00 90.00 119.84°
Fractional positions:
Pm: 0.000 0.000 0.000
Er: 0.059 0.302 0.500
Er: 0.239 0.761 0.000
Er: 0.302 0.059 0.500
Er: 0.500 0.500 0.500
Er: 0.698 0.941 0.500
Er: 0.761 0.239 0.000
Er: 0.941 0.698 0.500
Sc: 0.296 0.704 0.500
Sc: 0.704 0.296 0.500

7.
Material: Pm7ErSc2
Method: DFT, PBE
State: optimized geometry

Values from the calculation:
ρ, g/cm3: 5.5
Total magnetic moment, μB/atom: 0.000
Formation energy from the elements, eV/f.u.: 6.09

Cell: 8.904 8.904 5.574 Å, 90.00 90.00 119.56°
Fractional positions:
Pm: 0.000 0.000 0.000
Pm: 0.197 0.438 0.000
Pm: 0.254 0.746 0.500
Pm: 0.438 0.197 0.000
Pm: 0.562 0.803 0.000
Pm: 0.746 0.254 0.500
Pm: 0.803 0.562 0.000
Er: 0.500 0.500 0.500
Sc: 0.204 0.796 0.000
Sc: 0.796 0.204 0.000

8.
Material: Pm5Er4Sc
Method: DFT, PBE
State: optimized geometry

Values from the calculation:
ρ, g/cm3: 7.4
Total magnetic moment, μB/atom: 0.000
Formation energy from the elements, eV/f.u.: 0.44
Excess energy over the best structure of this formula in the dataset, kJ/mol of formula units: 19

Cell: 8.582 8.582 11.394 Å, 108.10 108.10 23.77°
Fractional positions:
Pm: 0.000 0.000 0.000
Pm: 0.289 0.289 0.883
Pm: 0.315 0.315 0.427
Pm: 0.685 0.685 0.573
Pm: 0.711 0.711 0.117
Er: 0.104 0.104 0.298
Er: 0.418 0.418 0.213
Er: 0.582 0.582 0.787
Er: 0.896 0.896 0.702
Sc: 0.000 0.000 0.500

9.
Material: Pm2Er7Sc2
Method: DFT, PBE
State: optimized geometry

Values from the calculation:
ρ, g/cm3: 7.5
Total magnetic moment, μB/atom: 0.001
Formation energy from the elements, eV/f.u.: 1.94
Excess energy over the best structure of this formula in the dataset, kJ/mol of formula units: 0

Cell: 10.428 10.428 10.428 Å, 160.55 70.19 113.33°
Fractional positions:
Pm: 0.209 0.000 0.209
Pm: 0.791 0.000 0.791
Er: 0.085 0.749 0.336
Er: 0.376 0.487 0.890
Er: 0.412 0.749 0.664
Er: 0.581 0.247 0.334
Er: 0.597 0.487 0.110
Er: 0.909 0.909 0.000
Er: 0.913 0.247 0.666
Sc: 0.218 0.218 0.000
Sc: 0.662 0.162 0.500

10.
Material: Pm6Er12Sc
Method: DFT, PBE
State: optimized geometry

Values from the calculation:
ρ, g/cm3: 8.0
Total magnetic moment, μB/atom: 0.000
Formation energy from the elements, eV/f.u.: 2.14

Cell: 8.586 8.586 8.586 Å, 79.86 79.86 79.86°
Fractional positions:
Pm: 0.272 0.272 0.663
Pm: 0.272 0.663 0.272
Pm: 0.337 0.728 0.728
Pm: 0.663 0.272 0.272
Pm: 0.728 0.337 0.728
Pm: 0.728 0.728 0.337
Er: 0.015 0.015 0.695
Er: 0.015 0.695 0.015
Er: 0.016 0.363 0.363
Er: 0.305 0.985 0.985
Er: 0.363 0.016 0.363
Er: 0.363 0.363 0.016
Er: 0.637 0.637 0.984
Er: 0.637 0.984 0.637
Er: 0.695 0.015 0.015
Er: 0.984 0.637 0.637
Er: 0.985 0.305 0.985
Er: 0.985 0.985 0.305
Sc: 0.500 0.500 0.500

11.
Material: Pm2ErSc
Method: DFT, PBE
State: optimized geometry

Values from the calculation:
ρ, g/cm3: 6.7
Total magnetic moment, μB/atom: 0.000
Formation energy from the elements, eV/f.u.: 0.39
Excess energy over the best structure of this formula in the dataset, kJ/mol of formula units: 23

Cell: 5.593 5.593 5.593 Å, 60.00 60.00 60.00°
Fractional positions:
Pm: 0.250 0.250 0.250
Pm: 0.750 0.750 0.750
Er: 0.000 0.000 0.000
Sc: 0.500 0.500 0.500

12.
Material: Pm4Er3ScSe8
Method: DFT, PBE
State: optimized geometry

Values from the calculation:
ρ, g/cm3: 7.5
Total magnetic moment, μB/atom: 0.000
Formation energy from raw total energies, eV/atom: -1.7488

Cell: 8.302 8.302 8.302 Å, 58.42 58.42 58.42°
Fractional positions:
Pm: 0.000 0.000 0.000
Pm: 0.000 0.500 0.500
Pm: 0.500 0.000 0.500
Pm: 0.500 0.500 0.000
Er: 0.000 0.000 0.500
Er: 0.000 0.500 0.000
Er: 0.500 0.000 0.000
Sc: 0.500 0.500 0.500
Se: 0.245 0.245 0.245
Se: 0.249 0.741 0.741
Se: 0.259 0.259 0.751
Se: 0.259 0.751 0.259
Se: 0.741 0.249 0.741
Se: 0.741 0.741 0.249
Se: 0.751 0.259 0.259
Se: 0.755 0.755 0.755